(A)
## NaSi3Te (PBE-GGA)

Data for a geometry-optimized NaSi3Te structure.

The structure in POSCAR format:
```
NaSi3Te
1.0
5.0236 0.0000 0.0000
0.0000 5.0236 0.0000
0.0000 0.0000 5.0236
Na Si Te
1 3 1
Direct
0.0000 0.0000 0.0000
0.0000 0.5000 0.0000
0.0000 0.0000 0.5000
0.5000 0.0000 0.0000
0.5000 0.5000 0.5000
```

Results
The calculation puts the density at 3.076 g cm⁻³.


(B)
## NaSi3Te (PBE-GGA)

Data for a geometry-optimized NaSi3Te structure.

The structure in POSCAR format:
```
NaSi3Te
1.0
5.3201 0.0000 0.0000
0.0000 5.3201 0.0000
0.0000 0.0000 5.3201
Na Si Te
1 3 1
Direct
0.5000 0.5000 0.5000
0.0000 0.5000 0.0000
0.0000 0.0000 0.5000
0.5000 0.0000 0.0000
0.0000 0.0000 0.0000
```

Results
The calculation puts the density at 2.590 g cm⁻³.


Most stable structure, least stable structure: (B), (A).


(A)
## Na3TiSi (PBE-GGA)

Data for a geometry-optimized Na3TiSi structure.

The structure in POSCAR format:
```
Na3TiSi
1.0
5.4494 0.0000 0.0000
0.0000 5.4494 0.0000
0.0000 0.0000 5.4494
Na Si Ti
3 1 1
Direct
0.0000 0.5000 0.0000
0.0000 0.0000 0.5000
0.5000 0.0000 0.0000
0.0000 0.0000 0.0000
0.5000 0.5000 0.5000
```

Results
The calculation puts the density at 1.487 g cm⁻³.


(B)
## Na3TiSi (PBE-GGA)

Data for a geometry-optimized Na3TiSi structure.

The structure in POSCAR format:
```
Na3TiSi
1.0
-1.3979 -4.0729 -3.6075
4.9660 0.5666 -2.5640
2.2229 -3.8272 3.4595
Na Si Ti
3 1 1
Direct
0.0000 0.5000 0.0000
0.0000 0.0000 0.5000
0.5000 0.0000 0.0000
0.5000 0.5000 0.5000
0.0000 0.0000 0.0000
```

Results
The calculation puts the density at 1.358 g cm⁻³.


Most stable structure, least stable structure: (A), (B).


(A)
## NaTiSi3 (PBE-GGA)

Data for a geometry-optimized NaTiSi3 structure.

The structure in POSCAR format:
```
NaTiSi3
1.0
-2.9061 -2.7089 -2.7214
-1.2266 -2.5792 3.8772
-3.6386 3.0330 0.8666
Na Si Ti
1 3 1
Direct
0.5000 0.5000 0.5000
0.0000 0.5000 0.0000
0.0000 0.0000 0.5000
0.5000 0.0000 0.0000
0.0000 0.0000 0.0000
```

Results
The calculation puts the density at 2.307 g cm⁻³.


(B)
## NaTiSi3 (PBE-GGA)

Data for a geometry-optimized NaTiSi3 structure.

The structure in POSCAR format:
```
NaTiSi3
1.0
-4.2403 -1.2743 1.6357
2.0487 -2.0008 3.7522
-0.3196 4.0807 2.3505
Na Si Ti
1 3 1
Direct
0.0000 0.0000 0.0000
0.0000 0.5000 0.0000
0.0000 0.0000 0.5000
0.5000 0.0000 0.0000
0.5000 0.5000 0.5000
```

Results
The calculation puts the density at 2.449 g cm⁻³.


Most stable structure, least stable structure: (A), (B).


(A)
## NaTl3Si (PBE-GGA)

Data for a geometry-optimized NaTl3Si structure.

The structure in POSCAR format:
```
NaTl3Si
1.0
5.5254 0.0000 0.0000
0.0000 5.5254 0.0000
0.0000 0.0000 5.5254
Na Tl Si
1 3 1
Direct
0.5000 0.5000 0.5000
0.0000 0.5000 0.0000
0.0000 0.0000 0.5000
0.5000 0.0000 0.0000
0.0000 0.0000 0.0000
```

Results
The calculation puts the density at 6.539 g cm⁻³.


(B)
## NaTl3Si (PBE-GGA)

Data for a geometry-optimized NaTl3Si structure.

The structure in POSCAR format:
```
NaTl3Si
1.0
5.5019 0.0000 0.0000
0.0000 5.5019 0.0000
0.0000 0.0000 5.5019
Na Tl Si
1 3 1
Direct
0.0000 0.0000 0.0000
0.0000 0.5000 0.0000
0.0000 0.0000 0.5000
0.5000 0.0000 0.0000
0.5000 0.5000 0.5000
```

Results
The calculation puts the density at 6.623 g cm⁻³.


Most stable structure, least stable structure: (A), (B).


(A)
## NaVSi (PBE-GGA)

Data for a geometry-optimized NaVSi structure.

The structure in POSCAR format:
```
NaVSi
1.0
8.6284 0.0000 -0.0130
0.0000 3.3262 0.0000
-1.7448 0.0000 8.2987
Na V Si
4 4 4
Direct
0.1386 0.0000 0.6664
0.8614 0.0000 0.3336
0.1386 0.5000 0.1664
0.8614 0.5000 0.8336
0.4367 0.0000 0.1410
0.5633 0.0000 0.8590
0.4367 0.5000 0.6410
0.5633 0.5000 0.3590
0.6412 0.0000 0.5884
0.3588 0.0000 0.4116
0.6412 0.5000 0.0884
0.3588 0.5000 0.9116
```

Results
The calculation puts the density at 2.846 g cm⁻³.


(B)
## NaVSi (PBE-GGA)

Data for a geometry-optimized NaVSi structure.

The structure in POSCAR format:
```
NaVSi
1.0
3.1905 0.0000 0.0000
0.0000 11.1013 0.0000
0.0000 0.0000 3.1631
Na V Si
2 2 2
Direct
0.0000 0.8625 0.0000
0.5000 0.1375 0.5000
0.0000 0.5616 0.0000
0.5000 0.4384 0.5000
0.0000 0.3317 0.0000
0.5000 0.6683 0.5000
```

Results
The calculation puts the density at 3.024 g cm⁻³.


Most stable structure, least stable structure: (B), (A).


(A)
## NaVSi2 (PBE-GGA)

Data for a geometry-optimized NaVSi2 structure.

The structure in POSCAR format:
```
NaVSi2
1.0
0.0000 3.1679 3.1679
3.1679 0.0000 3.1679
3.1679 3.1679 0.0000
Na Si V
1 2 1
Direct
0.0000 0.0000 0.0000
0.2500 0.2500 0.2500
0.7500 0.7500 0.7500
0.5000 0.5000 0.5000
```

Results
The calculation puts the density at 3.398 g cm⁻³.


(B)
## NaVSi2 (PBE-GGA)

Data for a geometry-optimized NaVSi2 structure.

The structure in POSCAR format:
```
NaVSi2
1.0
-1.4508 0.7419 -4.6922
-3.1276 -3.8419 0.3596
-8.1858 3.4956 0.4548
Na Si V
2 4 2
Direct
0.5000 0.5000 0.0000
0.2500 0.7500 0.5000
0.8778 0.1250 0.2500
0.8722 0.6250 0.2500
0.3750 0.1222 0.7500
0.8750 0.1278 0.7500
0.0000 0.0000 0.0000
0.7500 0.2500 0.5000
```

Results
The calculation puts the density at 2.138 g cm⁻³.


Most stable structure, least stable structure: (A), (B).